# 1
Compound: CoSiMoAu
Source: OQMD
Functional: PBE
Structure: optimized geometry

Cell: 4.353 4.353 4.353 Å, 60.00 60.00 60.00°
Each line ends with the local moment (μB).
Element x y z (fractional)
Au: 0.250 0.250 0.250  0.01
Co: 0.750 0.750 0.750  0.97
Mo: 0.500 0.500 0.500  0.68
Si: 0.000 0.000 0.000  -0.01

Calculated values
The calculation puts the distance to the lowest polymorph of the same formula at 249.5 meV per atom.


# 2
Compound: CoSiMoAu
Source: OQMD
Functional: PBE
Structure: optimized geometry

Cell: 4.318 4.318 4.318 Å, 60.00 60.00 60.00°
Element x y z (fractional)
Au: 0.500 0.500 0.500
Co: 0.750 0.750 0.750
Mo: 0.250 0.250 0.250
Si: 0.000 0.000 0.000

Calculated values
The calculation puts the distance to the lowest polymorph of the same formula at 0.0 meV per atom.


# 3
Compound: CoSnMoAu
Source: OQMD
Functional: PBE
Structure: optimized geometry

Cell: 4.529 4.529 4.529 Å, 60.00 60.00 60.00°
Element x y z (fractional)
Au: 0.500 0.500 0.500
Co: 0.750 0.750 0.750
Mo: 0.250 0.250 0.250
Sn: 0.000 0.000 0.000

Calculated values
The calculation puts the distance to the lowest polymorph of the same formula at 0.0 meV per atom.


# 4
Compound: SrCoMoAu
Source: OQMD
Functional: PBE
Structure: optimized geometry

Cell: 4.812 4.812 4.812 Å, 60.00 60.00 60.00°
Element x y z (fractional)
Au: 0.750 0.750 0.750
Co: 0.250 0.250 0.250
Mo: 0.000 0.000 0.000
Sr: 0.500 0.500 0.500

Calculated values
The calculation puts the distance to the lowest polymorph of the same formula at 0.0 meV per atom.


# 5
Compound: SrCoMoAu
Source: OQMD
Functional: PBE
Structure: optimized geometry

Cell: 4.688 4.688 4.688 Å, 60.00 60.00 60.00°
Element x y z (fractional)
Au: 0.750 0.750 0.750
Co: 0.000 0.000 0.000
Mo: 0.250 0.250 0.250
Sr: 0.500 0.500 0.500

Calculated values
The calculation puts the distance to the lowest polymorph of the same formula at 86.7 meV per atom.


# 6
Compound: SrCoMoAu
Source: OQMD
Functional: PBE
Structure: optimized geometry

Cell: 4.718 4.718 4.718 Å, 60.00 60.00 60.00°
Element x y z (fractional)
Au: 0.750 0.750 0.750
Co: 0.500 0.500 0.500
Mo: 0.000 0.000 0.000
Sr: 0.250 0.250 0.250

Calculated values
The calculation puts the distance to the lowest polymorph of the same formula at 205.4 meV per atom.